Here is a relaxed structure of Tl2Zn2In from Alexandria via LeMat-Bulk. Energies are from PBE.

Computed properties:
Its energy above the most stable polymorph in this dataset is 0.000 eV per atom. The value obtained for the total magnetization is 0.0000 μB per atom. The formation enthalpy at 0 K is 0.5 eV per formula unit. For the density of states at the Fermi level, the calculation gives 0.4272 states/eV/atom.

Unit cell a=7.2914 b=7.2914 c=4.6377 alpha=90.00 beta=90.00 gamma=90.00
Last column: nearest neighbours and their distance in Å.
Fractional coordinates of all 10 atoms:
Tl (0.1783, 0.3217, 0.0000)  6 Zn 3.08-3.23
Tl (0.3217, 0.8217, 0.0000)  6 Zn 3.08-3.23
Tl (0.6783, 0.1783, 0.0000)  6 Zn 3.08-3.23
Tl (0.8217, 0.6783, 0.0000)  6 Zn 3.08-3.23
Zn (0.1245, 0.6245, 0.5000)  1 Zn 2.57
Zn (0.3755, 0.1245, 0.5000)  1 Zn 2.57
Zn (0.6245, 0.8755, 0.5000)  1 Zn 2.57
Zn (0.8755, 0.3755, 0.5000)  1 Zn 2.57
In (0.0000, 0.0000, 0.5000)  4 Zn 2.88
In (0.5000, 0.5000, 0.5000)  4 Zn 2.88

Here is a relaxed structure of TlZnIn from Alexandria via LeMat-Bulk. Energies are from PBE.

Computed properties:
The value obtained for the total magnetization is 0.0000 μB per atom. The formation enthalpy at 0 K is 0.4 eV per formula unit. For the density of states at the Fermi level, the calculation gives 0.4086 states/eV/atom.

Unit cell a=5.0785 b=5.0785 c=6.4572 alpha=90.00 beta=90.00 gamma=114.54
Last column: nearest neighbours and their distance in Å.
Fractional coordinates of all 6 atoms:
Tl (0.1526, 0.8474, 0.7500)  5 Zn 2.92-3.24
Tl (0.8474, 0.1526, 0.2500)  5 Zn 2.92-3.24
Zn (0.1890, 0.8110, 0.2500)  5 Tl 2.92-3.24, 2 In 3.11
Zn (0.8110, 0.1890, 0.7500)  5 Tl 2.92-3.24, 2 In 3.11
In (0.5000, 0.5000, 0.0000)  2 Zn 3.11, 2 In 3.23, 6 Tl 3.38-3.44
In (0.5000, 0.5000, 0.5000)  2 Zn 3.11, 2 In 3.23, 6 Tl 3.38-3.44

Here is a relaxed structure of ZrTl2In from Alexandria via LeMat-Bulk. Energies are from PBE.

Computed properties:
Its energy above the most stable polymorph in this dataset is 0.048 eV per atom. The value obtained for the total magnetization is 0.0000 μB per atom. The formation enthalpy at 0 K is 0.2 eV per formula unit. For the density of states at the Fermi level, the calculation gives 0.3796 states/eV/atom.

Unit cell a=5.6243 b=5.6243 c=3.3454 alpha=90.00 beta=90.00 gamma=110.90
Last column: nearest neighbours and their distance in Å.
Fractional coordinates of all 4 atoms:
Zr (0.0000, 0.0000, 0.0000)  2 In 3.19, 8 Tl 3.27, 2 Zr 3.35
Tl (0.0000, 0.5000, 0.5000)  4 Tl 3.19-3.35, 4 In 3.27, 4 Zr 3.27
Tl (0.5000, 0.0000, 0.5000)  4 Tl 3.19-3.35, 4 In 3.27, 4 Zr 3.27
In (0.5000, 0.5000, 0.0000)  2 Zr 3.19, 8 Tl 3.27, 2 In 3.35

Here is a relaxed structure of Zr4TlIn3 from Alexandria via LeMat-Bulk. Energies are from PBE.

Computed properties:
The value obtained for the total magnetization is 0.0000 μB per atom. The formation enthalpy at 0 K is -1.7 eV per formula unit. For the density of states at the Fermi level, the calculation gives 0.9998 states/eV/atom.

Unit cell a=10.3489 b=6.4033 c=5.4103 alpha=90.00 beta=90.00 gamma=90.00
Last column: nearest neighbours and their distance in Å.
Fractional coordinates of all 16 atoms:
Zr (0.0000, 0.2490, 0.0000)  6 In 3.14-3.15, 2 Tl 3.15, 4 Zr 3.17-3.21
Zr (0.0000, 0.7510, 0.0000)  6 In 3.14-3.15, 2 Tl 3.15, 4 Zr 3.17-3.21
Zr (0.2500, 0.2490, 0.3378)  6 In 3.09-3.21, 4 Zr 3.17-3.21, 2 Tl 3.17
Zr (0.2500, 0.7510, 0.3378)  6 In 3.09-3.21, 4 Zr 3.17-3.21, 2 Tl 3.17
Zr (0.5000, 0.2490, 0.0000)  6 In 3.14-3.15, 2 Tl 3.15, 4 Zr 3.17-3.21
Zr (0.5000, 0.7510, 0.0000)  6 In 3.14-3.15, 2 Tl 3.15, 4 Zr 3.17-3.21
Zr (0.7500, 0.2490, 0.6622)  6 In 3.09-3.21, 4 Zr 3.17-3.21, 2 Tl 3.17
Zr (0.7500, 0.7510, 0.6622)  6 In 3.09-3.21, 4 Zr 3.17-3.21, 2 Tl 3.17
Tl (0.0000, 0.5000, 0.5000)  8 Zr 3.15-3.17, 4 In 3.20-3.21
Tl (0.5000, 0.5000, 0.5000)  8 Zr 3.15-3.17, 4 In 3.20-3.21
In (0.0000, 0.0000, 0.5000)  8 Zr 3.14-3.16, 2 In 3.19, 2 Tl 3.20
In (0.2500, 0.0000, 0.8461)  8 Zr 3.10-3.18, 4 In 3.19-3.20
In (0.2500, 0.5000, 0.8509)  8 Zr 3.09-3.21, 2 In 3.20, 2 Tl 3.21
In (0.5000, 0.0000, 0.5000)  8 Zr 3.14-3.16, 2 In 3.19, 2 Tl 3.20
In (0.7500, 0.0000, 0.1539)  8 Zr 3.10-3.18, 4 In 3.19-3.20
In (0.7500, 0.5000, 0.1491)  8 Zr 3.09-3.21, 2 In 3.20, 2 Tl 3.21

Here is a relaxed structure of ZrTlIn2 from Alexandria via LeMat-Bulk. Energies are from PBE.

Computed properties:
Its energy above the most stable polymorph in this dataset is 0.069 eV per atom. The value obtained for the total magnetization is 0.0000 μB per atom. The formation enthalpy at 0 K is -0.2 eV per formula unit. For the density of states at the Fermi level, the calculation gives 0.3744 states/eV/atom.

Unit cell a=10.4701 b=10.4701 c=10.4701 alpha=18.49 beta=18.49 gamma=18.49
Last column: nearest neighbours and their distance in Å.
Fractional coordinates of all 4 atoms:
Zr (0.0000, 0.0000, 0.0000)  6 In 3.12, 6 Zr 3.36
Tl (0.5000, 0.5000, 0.5000)  6 In 3.33, 6 Tl 3.36
In (0.2543, 0.2543, 0.2543)  3 Zr 3.12, 3 Tl 3.33, 6 In 3.36
In (0.7457, 0.7457, 0.7457)  3 Zr 3.12, 3 Tl 3.33, 6 In 3.36

Here is a relaxed structure of ZrTl2In from Alexandria via LeMat-Bulk. Energies are from PBE.

Computed properties:
Its energy above the most stable polymorph in this dataset is 0.045 eV per atom. The value obtained for the total magnetization is 0.0000 μB per atom. The formation enthalpy at 0 K is 0.1 eV per formula unit. For the density of states at the Fermi level, the calculation gives 0.4402 states/eV/atom.

Unit cell a=5.9477 b=5.9477 c=5.9477 alpha=136.94 beta=136.94 gamma=62.52
Last column: nearest neighbours and their distance in Å.
Fractional coordinates of all 4 atoms:
Zr (0.0000, 0.0000, 0.0000)  4 In 3.09, 8 Tl 3.35
Tl (0.2500, 0.7500, 0.5000)  4 Tl 3.09, 4 In 3.35, 4 Zr 3.35
Tl (0.7500, 0.2500, 0.5000)  4 Tl 3.09, 4 In 3.35, 4 Zr 3.35
In (0.5000, 0.5000, 0.0000)  4 Zr 3.09, 8 Tl 3.35

no.,volume (Å³ per atom)
1,24.66
2,25.25
3,24.71
4,22.41
5,25.20
6,24.22